(1)
An optimized crystal structure of RbTcRh2. Source: the Alexandria database, functional PBE.

Fermi-level density of states: 1.050 states/eV per atom
energy above the lowest structure with this stoichiometry: 239 meV/atom
ΔE_f: 5.20 eV/f.u.

abc: 4.695 4.695 4.695
angles: 60.00 60.00 60.00
Fractional positions:
Rb: 0.000 0.000 0.000
Tc: 0.500 0.500 0.500
Rh: 0.250 0.250 0.250
Rh: 0.750 0.750 0.750


(2)
An optimized crystal structure of RbTc3Rh. Source: the Alexandria database, functional PBE.

Fermi-level density of states: 1.533 states/eV per atom
energy above the lowest structure with this stoichiometry: 0 meV/atom
ΔE_f: 9.54 eV/f.u.

abc: 4.874 4.874 4.874
angles: 90.00 90.00 90.00
Fractional positions:
Rb: 0.000 0.000 0.000
Tc: 0.000 0.500 0.500
Tc: 0.500 0.000 0.500
Tc: 0.500 0.500 0.000
Rh: 0.500 0.500 0.500


(3)
An optimized crystal structure of Rb3TcRh. Source: the Alexandria database, functional PBE.

Fermi-level density of states: 2.805 states/eV per atom
energy above the lowest structure with this stoichiometry: 0 meV/atom
ΔE_f: 7.64 eV/f.u.

abc: 6.177 6.177 6.177
angles: 90.00 90.00 90.00
Fractional positions:
Rb: 0.000 0.000 0.500
Rb: 0.000 0.500 0.000
Rb: 0.500 0.000 0.000
Tc: 0.500 0.500 0.500
Rh: 0.000 0.000 0.000


(4)
An optimized crystal structure of RbTc3Rh. Source: the Alexandria database, functional PBE.

Fermi-level density of states: 1.314 states/eV per atom
energy above the lowest structure with this stoichiometry: 1416 meV/atom
ΔE_f: 16.62 eV/f.u.

abc: 4.573 4.573 4.573
angles: 90.00 90.00 90.00
Fractional positions:
Rb: 0.000 0.000 0.000
Tc: 0.000 0.000 0.500
Tc: 0.000 0.500 0.000
Tc: 0.500 0.000 0.000
Rh: 0.500 0.500 0.500


(5)
An optimized crystal structure of RbTcRh3. Source: the Alexandria database, functional PBE.

Fermi-level density of states: 2.051 states/eV per atom
energy above the lowest structure with this stoichiometry: 1917 meV/atom
ΔE_f: 14.28 eV/f.u.

abc: 4.684 4.684 4.684
angles: 90.00 90.00 90.00
Fractional positions:
Rb: 0.000 0.000 0.000
Tc: 0.500 0.500 0.500
Rh: 0.000 0.000 0.500
Rh: 0.000 0.500 0.000
Rh: 0.500 0.000 0.000


(6)
An optimized crystal structure of RbTcRh3. Source: the Alexandria database, functional PBE.

Fermi-level density of states: 0.714 states/eV per atom
energy above the lowest structure with this stoichiometry: 0 meV/atom
ΔE_f: 4.70 eV/f.u.

abc: 4.804 4.804 4.804
angles: 90.00 90.00 90.00
Fractional positions:
Rb: 0.000 0.000 0.000
Tc: 0.500 0.500 0.500
Rh: 0.000 0.500 0.500
Rh: 0.500 0.000 0.500
Rh: 0.500 0.500 0.000


Repeat the second record exactly.
An optimized crystal structure of RbTc3Rh. Source: the Alexandria database, functional PBE.

Fermi-level density of states: 1.533 states/eV per atom
energy above the lowest structure with this stoichiometry: 0 meV/atom
ΔE_f: 9.54 eV/f.u.

abc: 4.874 4.874 4.874
angles: 90.00 90.00 90.00
Fractional positions:
Rb: 0.000 0.000 0.000
Tc: 0.000 0.500 0.500
Tc: 0.500 0.000 0.500
Tc: 0.500 0.500 0.000
Rh: 0.500 0.500 0.500